Density functional theory data (PBE) for a relaxed SrBeHgAu2 crystal.

```
SrBeHgAu2
1.0
-3.0648 -0.3224 3.6363
3.0409 -2.8524 2.3101
2.0378 3.8393 2.0580
Sr Au Hg Be
1 2 1 1
Cartesian
1.0070 0.3323 4.0022 Sr
1.5205 -1.4262 1.1551 Au
-1.5324 -0.1612 1.8182 Au
1.0189 1.9196 1.0290 Hg
0.0000 0.0000 0.0000 Be
```

Symmetry: P4/mmm
N(E_F) (states/eV/cell): 1.9
Energy of formation (eV per atom): -0.358


Density functional theory data (PBE) for a relaxed WBrCl2 crystal.

```
WBrCl2
1.0
7.4588 0.1026 -0.1494
6.7707 3.1309 -0.1494
1.7753 0.4034 4.6685
Br W Cl
1 1 2
Cartesian
4.0012 0.9092 1.0924 Br
12.0036 2.7277 3.2772 W
3.1315 0.7116 4.1291 Cl
6.6462 1.5103 2.7243 Cl
```

Symmetry: Immm
E above lowest polymorph (eV/atom): 0.236
Uncorrected formation energy (eV/atom): -0.111
N(E_F) (states/eV/cell): 2.1


Density functional theory data (PBE) for a relaxed LiLaTh crystal.

```
LiLaTh
1.0
-2.8475 0.1390 2.0914
1.5066 -3.1141 -0.7307
5.0856 0.8490 6.8676
Li Th La
1 1 1
Cartesian
3.4731 -1.4592 4.8256 Li
5.0493 0.8429 6.8187 Th
0.3078 -0.6610 3.4517 La
```

Symmetry: P3m1
E above lowest polymorph (eV/atom): 0.112
N(E_F) (states/eV/cell): 2.5
Energy of formation (eV per atom): 0.139


Density functional theory data (PBE) for a relaxed CeY12Tm7 crystal.

```
CeY12Tm7
1.0
9.8868 -0.6505 -0.9763
-3.3740 9.3161 -0.9763
-3.3740 -4.4892 8.2213
Ce Y Tm
1 12 7
Cartesian
0.0000 0.0000 0.0000 Ce
5.3738 -0.7711 3.1343 Y
5.3738 3.1895 0.4957 Y
2.1697 -1.4070 2.5410 Y
5.0937 2.4835 3.7276 Y
1.5695 -1.8723 5.7730 Y
0.9692 1.2896 6.5883 Y
2.1697 2.8869 -0.3197 Y
1.5694 6.0487 0.4956 Y
-1.9548 1.6929 2.5410 Y
0.9692 5.5834 3.7276 Y
-2.2349 0.9869 5.7730 Y
-2.2349 4.9475 3.1343 Y
4.1045 0.7638 6.2365 Tm
3.5465 0.0214 0.0321 Tm
-0.9656 -1.2848 3.1617 Tm
1.5695 2.0882 3.1343 Tm
4.1045 5.4612 3.1069 Tm
-0.4076 4.1550 6.2365 Tm
-0.9656 3.4126 0.0321 Tm
```

Symmetry: R-3m
E above lowest polymorph (eV/atom): 0.012
N(E_F) (states/eV/cell): 34.4
Energy of formation (eV per atom): 0.291


Density functional theory data (PBE) for a relaxed SrNiS2 crystal.

```
SrNiS2
1.0
-2.2331 -3.4774 5.5608
6.0778 1.1104 3.1351
0.7259 1.6749 5.6550
Sr S Ni
2 4 2
Cartesian
0.0000 0.0000 0.0000 Sr
0.2076 -1.4930 7.7819 Sr
-0.2449 -1.2895 4.7593 S
3.4914 0.3517 4.5901 S
2.5566 0.4728 7.7964 S
3.3382 -0.9191 11.5559 S
1.9224 -1.1835 4.3479 Ni
4.3630 0.8009 6.5690 Ni
```

Symmetry: I-42d
Uncorrected formation energy (eV/atom): -1.093
N(E_F) (states/eV/cell): 7.2


Density functional theory data (PBE) for a relaxed PrSbPd2Au2 crystal.

```
PrSbPd2Au2
1.0
5.2785 0.0000 0.0000
0.0000 5.2785 0.0000
-2.6393 -2.6393 5.3531
Pr Sb Pd Au
1 1 2 2
Cartesian
2.6393 2.6393 0.0000 Pr
0.0000 0.0000 0.0000 Sb
2.6393 2.6393 2.7825 Pd
0.0000 0.0000 2.5705 Pd
0.0000 2.6393 2.6765 Au
2.6393 0.0000 2.6765 Au
```

Symmetry: I4/mmm
Uncorrected formation energy (eV/atom): -0.161
N(E_F) (states/eV/cell): 3.4